1.
The following is a GGA-PBEsol calculation of LaPbW2 after structural relaxation, from the Alexandria database.

The structure in POSCAR format:
```
LaPbW2
1.0
-0.279 3.024 1.086
-2.710 1.663 -0.538
-4.718 -1.789 8.565
La Pb W
1 1 2
direct
0.491 0.491 0.526
0.261 0.261 0.218
0.011 0.011 0.968
0.737 0.737 0.789
```

Values from the calculation:
For the calculated formation energy, the calculation gives 2.176 eV per formula unit. The spin magnetization comes out at 0.000 μB/atom.

2.
The following is a GGA-PBEsol calculation of La4PbW after structural relaxation, from the Alexandria database.

The structure in POSCAR format:
```
La4PbW
1.0
-2.251 5.103 2.682
-4.464 3.252 -2.793
-5.738 0.003 2.318
La Pb W
4 1 1
direct
0.374 0.374 0.374
0.374 0.374 0.879
0.879 0.374 0.374
0.374 0.879 0.374
0.750 0.750 0.750
0.000 0.000 0.000
```

Values from the calculation:
For the calculated formation energy, the calculation gives 4.658 eV per formula unit. The spin magnetization comes out at 0.000 μB/atom.

3.
The following is a GGA-PBEsol calculation of LaPbW2 after structural relaxation, from the Alexandria database.

The structure in POSCAR format:
```
LaPbW2
1.0
-1.892 2.364 -1.258
-2.171 -2.256 -0.974
-3.881 0.670 7.093
La Pb W
1 1 2
direct
0.000 0.000 0.467
0.500 0.500 0.794
0.000 0.000 0.041
0.500 0.500 0.198
```

Values from the calculation:
For the calculated formation energy, the calculation gives 1.050 eV per formula unit. The spin magnetization comes out at 0.000 μB/atom.

4.
The following is a GGA-PBEsol calculation of La2YPb2 after structural relaxation, from the Alexandria database.

The structure in POSCAR format:
```
La2YPb2
1.0
-2.254 -3.888 -1.239
3.523 0.323 -7.428
6.281 -4.528 2.782
Pb Y La
4 2 4
direct
0.000 0.365 0.865
0.000 0.865 0.635
0.000 0.635 0.135
0.000 0.135 0.365
0.000 0.000 0.000
0.000 0.500 0.500
0.500 0.169 0.669
0.500 0.669 0.831
0.500 0.831 0.331
0.500 0.331 0.169
```

Values from the calculation:
For the calculated formation energy, the calculation gives -3.002 eV per formula unit. The spin magnetization comes out at 0.000 μB/atom.

5.
The following is a GGA-PBEsol calculation of LaY2Pb after structural relaxation, from the Alexandria database.

The structure in POSCAR format:
```
LaY2Pb
1.0
3.519 0.000 0.027
0.000 5.657 0.000
-0.047 0.000 5.878
La Pb Y
1 1 2
direct
0.624 0.000 0.543
0.126 0.500 0.722
0.125 0.000 0.025
0.626 0.500 0.211
```

Values from the calculation:
For the calculated formation energy, the calculation gives -1.094 eV per formula unit. The spin magnetization comes out at 0.000 μB/atom.

6.
The following is a GGA-PBEsol calculation of LaYPb2 after structural relaxation, from the Alexandria database.

The structure in POSCAR format:
```
LaYPb2
1.0
4.590 0.000 0.000
0.000 4.590 0.000
-2.295 -2.295 5.515
Pb Y La
2 1 1
direct
0.000 0.000 0.000
0.750 0.250 0.500
0.500 0.500 0.000
0.250 0.750 0.500
```

Values from the calculation:
For the calculated formation energy, the calculation gives -2.263 eV per formula unit. The spin magnetization comes out at 0.000 μB/atom.

7.
The following is a GGA-PBEsol calculation of LaYPb2 after structural relaxation, from the Alexandria database.

The structure in POSCAR format:
```
LaYPb2
1.0
-0.207 -0.361 3.533
2.925 -2.025 -0.035
5.064 7.298 1.043
Pb Y La
2 1 1
direct
0.000 0.000 0.261
0.000 0.000 0.739
0.500 0.500 0.500
0.500 0.500 0.000
```

Values from the calculation:
For the calculated formation energy, the calculation gives -2.296 eV per formula unit. The spin magnetization comes out at 0.000 μB/atom.

8.
The following is a GGA-PBEsol calculation of LaYPb after structural relaxation, from the Alexandria database.

The structure in POSCAR format:
```
LaYPb
1.0
-0.859 -5.180 0.240
1.854 -2.786 4.053
-3.314 -1.951 3.583
La Pb Y
1 1 1
direct
0.500 0.500 0.500
0.250 0.250 0.250
0.000 0.000 0.000
```

Values from the calculation:
For the calculated formation energy, the calculation gives -0.854 eV per formula unit. The spin magnetization comes out at 0.000 μB/atom.

9.
The following is a GGA-PBEsol calculation of LaYPb2 after structural relaxation, from the Alexandria database.

The structure in POSCAR format:
```
LaYPb2
1.0
-3.084 0.569 1.417
1.906 -2.184 5.027
1.731 5.291 1.642
Pb Y La
2 1 1
direct
0.865 0.875 0.000
0.865 0.375 0.500
0.465 0.375 0.000
0.305 0.875 0.500
```

Values from the calculation:
For the calculated formation energy, the calculation gives -2.099 eV per formula unit. The spin magnetization comes out at 0.037 μB/atom.

10.
The following is a GGA-PBEsol calculation of LaYPb2 after structural relaxation, from the Alexandria database.

The structure in POSCAR format:
```
LaYPb2
1.0
4.509 0.000 0.000
0.000 4.509 0.000
0.000 0.000 6.340
La Pb Y
1 2 1
direct
0.500 0.500 0.875
0.000 0.000 0.875
0.500 0.500 0.375
0.000 0.000 0.375
```

Values from the calculation:
For the calculated formation energy, the calculation gives -1.635 eV per formula unit. The spin magnetization comes out at 0.000 μB/atom.

11.
The following is a GGA-PBEsol calculation of LaYPb2 after structural relaxation, from the Alexandria database.

The structure in POSCAR format:
```
LaYPb2
1.0
-3.364 -0.280 1.255
-1.956 -0.463 -5.345
1.042 -5.384 1.592
Pb Y La
2 1 1
direct
0.000 0.000 0.500
0.000 0.500 0.000
0.500 0.500 0.500
0.500 0.000 0.000
```

Values from the calculation:
For the calculated formation energy, the calculation gives -2.201 eV per formula unit. The spin magnetization comes out at 0.000 μB/atom.

12.
The following is a GGA-PBEsol calculation of LaY2Pb after structural relaxation, from the Alexandria database.

The structure in POSCAR format:
```
LaY2Pb
1.0
-4.719 -0.042 -0.317
0.233 -3.936 -2.941
-0.238 -2.949 3.930
Pb Y La
1 2 1
direct
0.500 0.000 0.000
0.000 0.000 0.500
0.000 0.500 0.000
0.500 0.500 0.500
```

Values from the calculation:
For the calculated formation energy, the calculation gives -1.400 eV per formula unit. The spin magnetization comes out at 0.000 μB/atom.